This record from the Alexandria database describes crystalline Cr6Re2Mo at its relaxed geometry. The functional is PBE-GGA.

The structure belongs to space group C2/m (No. 12); the cell edges are 8.662, 5.986 and 4.785 Å and the angles 90.00°, 103.32° and 90.00°. Symmetry generates all atoms from Cr at (0.101, 0.196, 0.329), Cr at (0.150, 0.500, 0.629), Re at (0.176, 0.000, 0.826) and Mo at (0.000, 0.500, 0.000).

The value obtained for the formation energy is 460 meV/atom. Its calculated volume is 13.41 Å³/atom. The calculation puts the magnetic moment at 0.000 μB/atom.


This record from the Alexandria database describes crystalline CrRe2Mo at its relaxed geometry. The functional is PBE-GGA.

The structure belongs to space group Cmmm (No. 65); the cell edges are 3.095, 4.352 and 8.633 Å and the angles 90.00°, 90.00° and 90.00°. Symmetry generates all atoms from Cr at (0.000, 0.000, 0.000), Re at (0.000, 0.500, 0.237) and Mo at (0.000, 0.000, 0.500).

The value obtained for the formation energy is 113 meV/atom. Its calculated volume is 14.54 Å³/atom. The calculation puts the magnetic moment at 0.074 μB/atom.


This record from the Alexandria database describes crystalline CrReMo2 at its relaxed geometry. The functional is PBE-GGA.

The structure belongs to space group Cmm2 (No. 35); the cell edges are 3.098, 4.389 and 8.659 Å and the angles 90.00°, 90.00° and 90.00°. Symmetry generates all atoms from Cr at (0.000, 0.000, 0.000), Re at (0.000, 0.500, 0.765), Mo at (0.000, 0.000, 0.503) and Mo at (0.000, 0.500, 0.240).

The value obtained for the formation energy is 81 meV/atom. Its calculated volume is 14.72 Å³/atom. The calculation puts the magnetic moment at 0.000 μB/atom.


This record from the Alexandria database describes crystalline Cr2ReMo at its relaxed geometry. The functional is PBE-GGA.

The structure belongs to space group Pmmm (No. 47); the cell edges are 3.034, 4.197 and 4.330 Å and the angles 90.00°, 90.00° and 90.00°. Symmetry generates all atoms from Cr at (0.000, 0.000, 0.000), Cr at (0.500, 0.000, 0.500), Re at (0.000, 0.500, 0.500) and Mo at (0.500, 0.500, 0.000).

The value obtained for the formation energy is 81 meV/atom. Its calculated volume is 13.79 Å³/atom. The calculation puts the magnetic moment at 0.033 μB/atom.


This record from the Alexandria database describes crystalline CrReMo2 at its relaxed geometry. The functional is PBE-GGA.

The structure belongs to space group Pm (No. 6); the cell edges are 2.684, 4.341 and 5.133 Å and the angles 90.00°, 99.96° and 90.00°. Symmetry generates all atoms from Cr at (0.000, 0.000, 0.000), Re at (0.260, 0.500, 0.754), Mo at (0.513, 0.000, 0.503) and Mo at (0.758, 0.500, 0.241).

The value obtained for the formation energy is 69 meV/atom. Its calculated volume is 14.73 Å³/atom. The calculation puts the magnetic moment at 0.000 μB/atom.


This record from the Alexandria database describes crystalline CrRe4Mo at its relaxed geometry. The functional is PBE-GGA.

The structure belongs to space group F-43m (No. 216); the cell edges are 7.262, 7.262 and 7.262 Å and the angles 90.00°, 90.00° and 90.00°. Symmetry generates all atoms from Cr at (0.000, 0.000, 0.000), Re at (0.126, 0.126, 0.374) and Mo at (0.250, 0.250, 0.750).

The value obtained for the formation energy is 321 meV/atom. Its calculated volume is 15.96 Å³/atom. The calculation puts the magnetic moment at 0.345 μB/atom.


This record from the Alexandria database describes crystalline CrReMo2 at its relaxed geometry. The functional is PBE-GGA.

The structure belongs to space group I4/mmm (No. 139); the cell edges are 3.913, 3.913 and 7.758 Å and the angles 90.00°, 90.00° and 90.00°. Symmetry generates all atoms from Cr at (0.000, 0.000, 0.000), Re at (0.000, 0.000, 0.500) and Mo at (0.000, 0.500, 0.250).

The value obtained for the formation energy is 314 meV/atom. Its calculated volume is 14.85 Å³/atom. The calculation puts the magnetic moment at 0.006 μB/atom.


This record from the Alexandria database describes crystalline Cr2ReMo at its relaxed geometry. The functional is PBE-GGA.

The structure belongs to space group Pm (No. 6); the cell edges are 2.631, 4.246 and 4.983 Å and the angles 90.00°, 100.40° and 90.00°. Symmetry generates all atoms from Cr at (0.000, 0.000, 0.000), Cr at (0.258, 0.500, 0.757), Re at (0.509, 0.000, 0.518) and Mo at (0.759, 0.500, 0.244).

The value obtained for the formation energy is 68 meV/atom. Its calculated volume is 13.69 Å³/atom. The calculation puts the magnetic moment at 0.000 μB/atom.


This record from the Alexandria database describes crystalline CrReMo at its relaxed geometry. The functional is PBE-GGA.

The structure belongs to space group Cm (No. 8); the cell edges are 9.149, 4.319 and 5.293 Å and the angles 90.00°, 124.89° and 90.00°. Symmetry generates all atoms from Cr at (0.000, 0.000, 0.000), Cr at (0.150, 0.500, 0.313), Re at (0.325, 0.000, 0.656), Re at (0.486, 0.500, 0.491), Mo at (0.164, 0.500, 0.821) and Mo at (0.325, 0.000, 0.156).

The value obtained for the formation energy is 80 meV/atom. Its calculated volume is 14.30 Å³/atom. The calculation puts the magnetic moment at 0.000 μB/atom.


This record from the Alexandria database describes crystalline Cr2ReMo at its relaxed geometry. The functional is PBE-GGA.

The structure belongs to space group C2/m (No. 12); the cell edges are 8.422, 2.722 and 4.885 Å and the angles 90.00°, 93.70° and 90.00°. Symmetry generates all atoms from Cr at (0.246, 0.000, 0.247), Re at (0.000, 0.500, 0.000) and Mo at (0.000, 0.000, 0.500).

The value obtained for the formation energy is 328 meV/atom. Its calculated volume is 13.97 Å³/atom. The calculation puts the magnetic moment at 0.000 μB/atom.


This record from the Alexandria database describes crystalline Cr2ReMo at its relaxed geometry. The functional is PBE-GGA.

The structure belongs to space group P2/m (No. 10); the cell edges are 2.634, 4.191 and 5.046 Å and the angles 90.00°, 99.83° and 90.00°. Symmetry generates all atoms from Cr at (0.240, 0.000, 0.246), Re at (0.500, 0.500, 0.000) and Mo at (0.000, 0.500, 0.500).

The value obtained for the formation energy is 80 meV/atom. Its calculated volume is 13.72 Å³/atom. The calculation puts the magnetic moment at 0.000 μB/atom.


This record from the Alexandria database describes crystalline CrReMo2 at its relaxed geometry. The functional is PBE-GGA.

The structure belongs to space group Pmmm (No. 47); the cell edges are 3.096, 4.349 and 4.365 Å and the angles 90.00°, 90.00° and 90.00°. Symmetry generates all atoms from Cr at (0.000, 0.000, 0.000), Re at (0.500, 0.500, 0.000), Mo at (0.000, 0.500, 0.500) and Mo at (0.500, 0.000, 0.500).

The value obtained for the formation energy is 69 meV/atom. Its calculated volume is 14.69 Å³/atom. The calculation puts the magnetic moment at 0.000 μB/atom.


This record from the Alexandria database describes crystalline Cr2ReMo2 at its relaxed geometry. The functional is PBE-GGA.

The structure belongs to space group Cmmm (No. 65); the cell edges are 2.497, 22.722 and 2.646 Å and the angles 90.00°, 90.00° and 90.00°. Symmetry generates all atoms from Cr at (0.000, 0.098, 0.000), Re at (0.000, 0.000, 0.500) and Mo at (0.000, 0.307, 0.500).

The value obtained for the formation energy is 710 meV/atom. Its calculated volume is 15.01 Å³/atom. The calculation puts the magnetic moment at 0.000 μB/atom.


This record from the Alexandria database describes crystalline Cr2ReMo at its relaxed geometry. The functional is PBE-GGA.

The structure belongs to space group R3m (No. 160, hexagonal axes); the cell edges are 2.7761, 2.7761 and 24.9324 Å and the angles 90.00°, 90.00° and 120.00°. Symmetry generates all atoms from Cr at (0.0000, 0.0000, 0.0000), Cr at (0.0000, 0.0000, 0.2636), Re at (0.0000, 0.0000, 0.5124) and Mo at (0.0000, 0.0000, 0.7538).

The value obtained for the formation energy is 326 meV/atom. Its calculated volume is 13.87 Å³/atom. The calculation puts the magnetic moment at 0.000 μB/atom.


This record from the Alexandria database describes crystalline CrReMo2 at its relaxed geometry. The functional is PBE-GGA.

The structure belongs to space group Cm (No. 8); the cell edges are 9.737, 3.089 and 4.370 Å and the angles 90.00°, 116.57° and 90.00°. Symmetry generates all atoms from Cr at (0.000, 0.000, 0.000), Re at (0.252, 0.000, 0.752), Mo at (0.244, 0.500, 0.244) and Mo at (0.497, 0.000, 0.497).

The value obtained for the formation energy is 66 meV/atom. Its calculated volume is 14.69 Å³/atom. The calculation puts the magnetic moment at 0.000 μB/atom.